Density functional theory data (PBE with a Hubbard U) for an optimized crystal structure of VReBi2O8.

Values from the calculation:
V ... 166.95 Å³/cell
Magnetization ... 1.97 Bohr magnetons per cell
D(E_F) ... 1.10 states/eV/f.u.
Total energy ... -0.516 Ry/atom

a b c (Å): 5.039 6.574 5.041
angles (deg): 90.00 91.23 90.00
Space group P2/m (No. 10)
Symmetry-distinct sites (fractional):
V1 0.000 0.000 0.000 (multiplicity 1)
Re1 0.000 0.500 0.000 (multiplicity 1)
Bi1 0.500 0.246 0.500 (multiplicity 2)
O1 0.172 0.264 0.829 (multiplicity 4)
O2 0.262 0.000 0.263 (multiplicity 2)
O3 0.267 0.500 0.269 (multiplicity 2)